No. 1
{
  "formula": "ZrMo2As",
  "functional": "PBE-GGA",
  "state": "optimized geometry",
  "cell": [[0.0000, 3.2348, 3.2348], [3.2348, 0.0000, 3.2348], [3.2348, 3.2348, 0.0000]],
  "species": ["Zr", "Mo", "Mo", "As"],
  "fractional_positions": [[0.0000, 0.0000, 0.0000], [0.2500, 0.2500, 0.2500], [0.5000, 0.5000, 0.5000], [0.7500, 0.7500, 0.7500]],
  "space_group": "F-43m (216)"
}

No. 2
{
  "formula": "CdSnSeO",
  "functional": "PBE-GGA",
  "state": "optimized geometry",
  "cell": [[3.9794, 0.0000, 0.0000], [-1.9897, 3.4462, 0.0000], [0.0000, 0.0000, 12.8577]],
  "species": ["Cd", "Cd", "Sn", "Sn", "Se", "Se", "O", "O"],
  "fractional_positions": [[0.0000, 0.0000, 0.0000], [0.0000, 0.0000, 0.5000], [0.3333, 0.6667, 0.2737], [0.6667, 0.3333, 0.7737], [0.3333, 0.6667, 0.6023], [0.6667, 0.3333, 0.1023], [0.0000, 0.0000, 0.3304], [0.0000, 0.0000, 0.8304]],
  "space_group": "P6_3mc (186)",
  "polymorph_energy_kj_per_mol_atoms": 7.9
}

Number 1: electronic total energy -34.65 eV per cell. Number 2: electronic total energy -32.47 eV per cell.